No. 1
# ZrCoW2

A PBEsol-optimized structure of ZrCoW2 (SCAN, the Alexandria database).

The space group is P2/m (No. 10) and the conventional cell measures 2.749, 4.577 and 5.011 Å, with angles of 90.00, 99.26 and 90.00 degrees. The inequivalent atoms are Zr at (0.000, 0.000, 0.000), Co at (0.500, 0.000, 0.500) and W at (0.265, 0.500, 0.747).

The density of states at the Fermi level is 0.785 states/eV per atom. As for the total moment: 1.67 μB/f.u. For the energy relative to the elements, the calculation gives 0.29 eV per atom. As for the total energy: -186.205 eV/cell. Its energy relative to the lowest polymorph listed for this composition is 278 meV/atom.

No. 2
# ZrCoW2

A PBEsol-optimized structure of ZrCoW2 (SCAN, the Alexandria database).

The space group is R-3m (No. 166, hexagonal axes) and the conventional cell measures 2.7648, 2.7648 and 28.3473 Å, with angles of 90.00, 90.00 and 120.00 degrees. The inequivalent atoms are Zr at (0.0000, 0.0000, 0.0000), Co at (0.0000, 0.0000, 0.5000) and W at (0.0000, 0.0000, 0.2391).

The density of states at the Fermi level is 0.899 states/eV per atom. As for the total moment: 1.41 μB/f.u. For the energy relative to the elements, the calculation gives 0.50 eV per atom. As for the total energy: -556.126 eV/cell. Its energy relative to the lowest polymorph listed for this composition is 485 meV/atom.

No. 3
# ZrCoW2

A PBEsol-optimized structure of ZrCoW2 (SCAN, the Alexandria database).

The space group is Immm (No. 71) and the conventional cell measures 3.162, 4.396 and 9.028 Å, with angles of 90.00, 90.00 and 90.00 degrees. The inequivalent atoms are Zr at (0.000, 0.000, 0.000), Co at (0.000, 0.000, 0.500) and W at (0.000, 0.500, 0.241).

The density of states at the Fermi level is 0.664 states/eV per atom. As for the total moment: 1.61 μB/f.u. For the energy relative to the elements, the calculation gives 0.13 eV per atom. As for the total energy: -373.680 eV/cell. Its energy relative to the lowest polymorph listed for this composition is 119 meV/atom.

No. 4
# YCo3

A PBEsol-optimized structure of YCo3 (SCAN, the Alexandria database).

The space group is Pnma (No. 62) and the conventional cell measures 6.945, 6.432 and 5.119 Å, with angles of 90.00, 90.00 and 90.00 degrees. The inequivalent atoms are Y at (0.031, 0.250, 0.124), Co at (0.122, 0.750, 0.353) and Co at (0.165, 0.059, 0.590).

The density of states at the Fermi level is 0.796 states/eV per atom. As for the total moment: 4.09 μB/f.u. For the energy relative to the elements, the calculation gives -0.03 eV per atom. As for the total energy: -319.533 eV/cell.

No. 5
# Y2Co7

A PBEsol-optimized structure of Y2Co7 (SCAN, the Alexandria database).

The space group is R-3m (No. 166, hexagonal axes) and the conventional cell measures 4.8747, 4.8747 and 35.5305 Å, with angles of 90.00, 90.00 and 120.00 degrees. The inequivalent atoms are Y at (0.0000, 0.0000, 0.0515), Y at (0.0000, 0.0000, 0.1481), Co at (0.0000, 0.0000, 0.2786), Co at (0.0000, 0.0000, 0.3884), Co at (0.0000, 0.0000, 0.5000), Co at (0.0000, 0.5000, 0.0000) and Co at (0.0001, 0.5001, 0.1090).

The density of states at the Fermi level is 1.020 states/eV per atom. As for the total moment: 9.74 μB/f.u. For the energy relative to the elements, the calculation gives -0.08 eV per atom. As for the total energy: -1065.120 eV/cell.

No. 6
# YCo

A PBEsol-optimized structure of YCo (SCAN, the Alexandria database).

The space group is P6_3/mmc (No. 194) and the conventional cell measures 4.4774, 4.4774 and 4.5082 Å, with angles of 90.00, 90.00 and 120.00 degrees. The inequivalent atoms are Y at (0.3333, 0.6667, 0.2500) and Co at (0.0000, 0.0000, 0.0000).

The density of states at the Fermi level is 0.451 states/eV per atom. As for the total moment: 0.61 μB/f.u. For the energy relative to the elements, the calculation gives -0.16 eV per atom. As for the total energy: -90.922 eV/cell.

No. 7
# Y5Co3

A PBEsol-optimized structure of Y5Co3 (SCAN, the Alexandria database).

The space group is P6_3/mcm (No. 193) and the conventional cell measures 7.9267, 7.9267 and 6.1833 Å, with angles of 90.00, 90.00 and 120.00 degrees. The inequivalent atoms are Y at (0.0000, 0.2557, 0.2500), Y at (0.3333, 0.6667, 0.0000) and Co at (0.0000, 0.3939, 0.7500).

The density of states at the Fermi level is 0.814 states/eV per atom. As for the total moment: 0.15 μB/f.u. For the energy relative to the elements, the calculation gives 0.01 eV per atom. As for the total energy: -382.077 eV/cell.

No. 8
# YCo3

A PBEsol-optimized structure of YCo3 (SCAN, the Alexandria database).

The space group is P6_3/mmc (No. 194) and the conventional cell measures 4.8874, 4.8874 and 15.9782 Å, with angles of 90.00, 90.00 and 120.00 degrees. The inequivalent atoms are Y at (0.3333, 0.6667, 0.0402), Y at (0.3333, 0.6667, 0.2500), Co at (0.0000, 0.0000, 0.0000), Co at (0.0000, 0.0000, 0.2500), Co at (0.1662, 0.3325, 0.6285) and Co at (0.3333, 0.6667, 0.7500).

The density of states at the Fermi level is 1.105 states/eV per atom. As for the total moment: 3.90 μB/f.u. For the energy relative to the elements, the calculation gives -0.08 eV per atom. As for the total energy: -480.473 eV/cell.